1.
# RbGeTe3, relaxed, DFT PBE
data_RbGeTe3
_chemical_formula_sum 'Rb1 Ge1 Te3'
_cell_length_a 5.6178
_cell_length_b 5.6178
_cell_length_c 5.6178
_cell_angle_alpha 90.00
_cell_angle_beta 90.00
_cell_angle_gamma 90.00
_space_group_name_H-M_alt 'P m -3 m'
_space_group_IT_number 221
_space_group_name_Hall '-P 4 2 3'
loop_
_atom_site_label
_atom_site_type_symbol
_atom_site_fract_x
_atom_site_fract_y
_atom_site_fract_z
Rb1 Rb 0.0000 0.0000 0.0000
Ge1 Ge 0.5000 0.5000 0.5000
Te1 Te 0.0000 0.5000 0.5000
# Total magnetic moment, μB/f.u.: 0.000
# Raw formation energy, kJ/mol of formula units: -62
# Final energy, Ry/atom: -0.23011



2.
# NbFe2B2, relaxed, DFT PBE
data_NbFe2B2
_chemical_formula_sum 'Nb2 Fe4 B4'
_cell_length_a 6.0944
_cell_length_b 6.0944
_cell_length_c 2.6687
_cell_angle_alpha 90.00
_cell_angle_beta 90.00
_cell_angle_gamma 90.00
_space_group_name_H-M_alt 'P 4/m b m'
_space_group_IT_number 127
_space_group_name_Hall '-P 4 2ab'
loop_
_atom_site_label
_atom_site_type_symbol
_atom_site_fract_x
_atom_site_fract_y
_atom_site_fract_z
Nb1 Nb 0.0000 0.0000 0.0000
Fe1 Fe 0.1513 0.3487 0.5000
B1 B 0.1219 0.6219 0.0000
# Calculated formation energy, eV/f.u.: -0.6
# Total magnetic moment, μB/f.u.: 0.623
# Final energy, Ry/atom: -0.60190



3.
# LiHoLuPb, relaxed, DFT PBE
data_LiHoLuPb
_chemical_formula_sum 'Li4 Ho4 Lu4 Pb4'
_cell_length_a 7.3999
_cell_length_b 7.3999
_cell_length_c 7.3999
_cell_angle_alpha 90.00
_cell_angle_beta 90.00
_cell_angle_gamma 90.00
_space_group_name_H-M_alt 'F -4 3 m'
_space_group_IT_number 216
_space_group_name_Hall 'F -4 2 3'
loop_
_atom_site_label
_atom_site_type_symbol
_atom_site_fract_x
_atom_site_fract_y
_atom_site_fract_z
Li1 Li 0.0000 0.0000 0.0000
Ho1 Ho 0.2500 0.2500 0.2500
Lu1 Lu 0.2500 0.2500 0.7500
Pb1 Pb 0.0000 0.0000 0.5000
# Calculated formation energy, eV/f.u.: -0.8
# Total magnetic moment, μB/f.u.: 0.000
# Final energy, Ry/atom: -0.28601



4.
# CeTh2In9, relaxed, DFT PBE
data_CeTh2In9
_chemical_formula_sum 'Ce1 Th2 In9'
_cell_length_a 4.7340
_cell_length_b 4.7340
_cell_length_c 14.2047
_cell_angle_alpha 90.00
_cell_angle_beta 90.00
_cell_angle_gamma 90.00
_space_group_name_H-M_alt 'P 4/m m m'
_space_group_IT_number 123
_space_group_name_Hall '-P 4 2'
loop_
_atom_site_label
_atom_site_type_symbol
_atom_site_fract_x
_atom_site_fract_y
_atom_site_fract_z
Ce1 Ce 0.0000 0.0000 0.0000
Th1 Th 0.0000 0.0000 0.3328
In1 In 0.0000 0.5000 0.1641
In2 In 0.0000 0.5000 0.5000
In3 In 0.5000 0.5000 0.0000
In4 In 0.5000 0.5000 0.3318
# Calculated formation energy, eV/f.u.: -4.5
# Total magnetic moment, μB/f.u.: 0.988
# Final energy, Ry/atom: -0.30549



5.
# SbOsPt2, relaxed, DFT PBE
data_SbOsPt2
_chemical_formula_sum 'Sb1 Os1 Pt2'
_cell_length_a 2.9842
_cell_length_b 4.6660
_cell_length_c 4.8164
_cell_angle_alpha 90.00
_cell_angle_beta 90.00
_cell_angle_gamma 90.00
_space_group_name_H-M_alt 'P m m m'
_space_group_IT_number 47
loop_
_space_group_symop_operation_xyz
'x,y,z'
'-x,-y,-z'
'-x,-y,z'
'x,y,-z'
'x,-y,-z'
'-x,y,z'
'-x,y,-z'
'x,-y,z'
loop_
_atom_site_label
_atom_site_type_symbol
_atom_site_fract_x
_atom_site_fract_y
_atom_site_fract_z
Sb1 Sb 0.0000 0.0000 0.0000
Os1 Os 0.5000 0.5000 0.0000
Pt1 Pt 0.0000 0.5000 0.5000
Pt2 Pt 0.5000 0.0000 0.5000
# Total magnetic moment, μB/f.u.: 0.000
# Raw formation energy, kJ/mol of formula units: 113
# Final energy, Ry/atom: -0.48255



6.
# PmDyMgIn, relaxed, DFT PBE
data_PmDyMgIn
_chemical_formula_sum 'Pm4 Dy4 Mg4 In4'
_cell_length_a 7.6032
_cell_length_b 7.6032
_cell_length_c 7.6032
_cell_angle_alpha 90.00
_cell_angle_beta 90.00
_cell_angle_gamma 90.00
_space_group_name_H-M_alt 'F -4 3 m'
_space_group_IT_number 216
_space_group_name_Hall 'F -4 2 3'
loop_
_atom_site_label
_atom_site_type_symbol
_atom_site_fract_x
_atom_site_fract_y
_atom_site_fract_z
Pm1 Pm 0.0000 0.0000 0.0000
Dy1 Dy 0.0000 0.0000 0.5000
Mg1 Mg 0.2500 0.2500 0.2500
In1 In 0.2500 0.2500 0.7500
# Calculated formation energy, eV/f.u.: -1.3
# Total magnetic moment, μB/f.u.: 0.000
# Final energy, Ry/atom: -0.27572



7.
# Sr2LiBeB3O8, relaxed, DFT PBE
data_Sr2LiBeB3O8
_chemical_formula_sum 'Sr8 Li4 Be4 B12 O32'
_cell_length_a 8.7868
_cell_length_b 6.5094
_cell_length_c 13.0450
_cell_angle_alpha 90.00
_cell_angle_beta 106.49
_cell_angle_gamma 90.00
_space_group_name_H-M_alt 'P 1 21/c 1'
_space_group_IT_number 14
loop_
_space_group_symop_operation_xyz
'x,y,z'
'-x,-y,-z'
'-x,y+1/2,-z+1/2'
'x,-y+1/2,z+1/2'
loop_
_atom_site_label
_atom_site_type_symbol
_atom_site_fract_x
_atom_site_fract_y
_atom_site_fract_z
Sr1 Sr 0.0391 0.1010 0.1563
Sr2 Sr 0.3514 0.2432 0.9214
Li1 Li 0.3730 0.7389 0.3306
Be1 Be 0.3256 0.0678 0.6503
B1 B 0.0642 0.6428 0.1185
B2 B 0.2555 0.7373 0.0112
B3 B 0.4119 0.0571 0.2051
O1 O 0.0538 0.2220 0.3450
O2 O 0.1154 0.7271 0.5450
O3 O 0.1401 0.0386 0.6501
O4 O 0.2730 0.6385 0.4319
O5 O 0.3129 0.0037 0.2650
O6 O 0.3592 0.5831 0.0569
O7 O 0.3653 0.1972 0.1197
O8 O 0.4336 0.0169 0.7727
# Total magnetic moment, μB/f.u.: 0.000
# Raw formation energy, kJ/mol of formula units: -3929
# Final energy, Ry/atom: -0.53615



8.
# MgSiHgPt2, relaxed, DFT PBE
data_MgSiHgPt2
_chemical_formula_sum 'Mg1 Si1 Hg1 Pt2'
_cell_length_a 4.7266
_cell_length_b 4.7266
_cell_length_c 4.9221
_cell_angle_alpha 90.00
_cell_angle_beta 90.00
_cell_angle_gamma 90.00
_space_group_name_H-M_alt 'P 4/m m m'
_space_group_IT_number 123
_space_group_name_Hall '-P 4 2'
loop_
_atom_site_label
_atom_site_type_symbol
_atom_site_fract_x
_atom_site_fract_y
_atom_site_fract_z
Mg1 Mg 0.0000 0.0000 0.0000
Si1 Si 0.5000 0.5000 0.5000
Hg1 Hg 0.0000 0.0000 0.5000
Pt1 Pt 0.0000 0.5000 0.0000
# Total magnetic moment, μB/f.u.: 0.000
# Raw formation energy, kJ/mol of formula units: 418
# Final energy, Ry/atom: -0.22151



9.
# Ho4MgTl2, relaxed, DFT PBE
data_Ho4MgTl2
_chemical_formula_sum 'Ho8 Mg2 Tl4'
_cell_length_a 6.7397
_cell_length_b 8.5494
_cell_length_c 8.5858
_cell_angle_alpha 77.89
_cell_angle_beta 67.03
_cell_angle_gamma 66.91
_space_group_name_H-M_alt 'P -1'
_space_group_IT_number 2
loop_
_space_group_symop_operation_xyz
'x,y,z'
'-x,-y,-z'
loop_
_atom_site_label
_atom_site_type_symbol
_atom_site_fract_x
_atom_site_fract_y
_atom_site_fract_z
Ho1 Ho 0.1503 0.3296 0.3691
Ho2 Ho 0.1508 0.8677 0.8298
Ho3 Ho 0.2247 0.2659 0.7656
Ho4 Ho 0.2564 0.7345 0.2348
Mg1 Mg 0.2579 0.4910 0.9936
Tl1 Tl 0.0000 0.0000 0.5000
Tl2 Tl 0.5000 0.0000 0.0000
Tl3 Tl 0.5000 0.0000 0.5000
Tl4 Tl 0.5000 0.5000 0.5000
# Calculated formation energy, eV/f.u.: -0.2
# Total magnetic moment, μB/f.u.: 0.000
# Offset from the most stable computed form, eV/atom: 0.123
# Final energy, Ry/atom: -0.26098



10.
# Sm5Ho3Te8, relaxed, DFT PBE
data_Sm5Ho3Te8
_chemical_formula_sum 'Sm15 Ho9 Te24'
_cell_length_a 8.7733
_cell_length_b 8.7733
_cell_length_c 21.7628
_cell_angle_alpha 90.00
_cell_angle_beta 90.00
_cell_angle_gamma 120.00
_space_group_name_H-M_alt 'R -3 m'
_space_group_IT_number 166
_space_group_name_Hall '-R 3 2"'
loop_
_atom_site_label
_atom_site_type_symbol
_atom_site_fract_x
_atom_site_fract_y
_atom_site_fract_z
Sm1 Sm 0.0000 0.0000 0.0000
Sm2 Sm 0.0000 0.0000 0.5000
Sm3 Sm 0.0000 0.5000 0.0000
Ho1 Ho 0.0000 0.5000 0.5000
Te1 Te 0.0000 0.0000 0.2468
Te2 Te 0.0044 0.5022 0.7522
# Total magnetic moment, μB/f.u.: 0.000
# Raw formation energy, kJ/mol of formula units: -2051
# Final energy, Ry/atom: -0.38456



11.
# Tm3Th3TlTc2, relaxed, DFT PBE
data_Tm3Th3TlTc2
_chemical_formula_sum 'Tm3 Th3 Tl1 Tc2'
_cell_length_a 7.8641
_cell_length_b 7.8641
_cell_length_c 4.3911
_cell_angle_alpha 90.00
_cell_angle_beta 90.00
_cell_angle_gamma 120.00
_space_group_name_H-M_alt 'P -6 2 m'
_space_group_IT_number 189
_space_group_name_Hall 'P -6 -2'
loop_
_atom_site_label
_atom_site_type_symbol
_atom_site_fract_x
_atom_site_fract_y
_atom_site_fract_z
Tm1 Tm 0.0000 0.7344 0.0000
Th1 Th 0.0000 0.4233 0.5000
Tl1 Tl 0.0000 0.0000 0.5000
Tc1 Tc 0.3333 0.6667 0.0000
# Calculated formation energy, eV/f.u.: -0.3
# Total magnetic moment, μB/f.u.: 0.000
# Final energy, Ry/atom: -0.48204



12.
# Pm4DyHg2, relaxed, DFT PBE
data_Pm4DyHg2
_chemical_formula_sum 'Pm12 Dy3 Hg6'
_cell_length_a 5.5658
_cell_length_b 5.5658
_cell_length_c 26.1927
_cell_angle_alpha 90.00
_cell_angle_beta 90.00
_cell_angle_gamma 120.00
_space_group_name_H-M_alt 'R -3 m'
_space_group_IT_number 166
_space_group_name_Hall '-R 3 2"'
loop_
_atom_site_label
_atom_site_type_symbol
_atom_site_fract_x
_atom_site_fract_y
_atom_site_fract_z
Pm1 Pm 0.0000 0.0000 0.1300
Pm2 Pm 0.0000 0.0000 0.2676
Dy1 Dy 0.0000 0.0000 0.5000
Hg1 Hg 0.0000 0.0000 0.3864
# Calculated formation energy, eV/f.u.: -0.1
# Total magnetic moment, μB/f.u.: 0.000
# Final energy, Ry/atom: -0.25557



13.
# TcTe2PtI, relaxed, DFT PBE
data_TcTe2PtI
_chemical_formula_sum 'Tc1 Te2 Pt1 I1'
_cell_length_a 5.0470
_cell_length_b 5.0470
_cell_length_c 5.6125
_cell_angle_alpha 90.00
_cell_angle_beta 90.00
_cell_angle_gamma 90.00
_space_group_name_H-M_alt 'P 4/m m m'
_space_group_IT_number 123
_space_group_name_Hall '-P 4 2'
loop_
_atom_site_label
_atom_site_type_symbol
_atom_site_fract_x
_atom_site_fract_y
_atom_site_fract_z
Tc1 Tc 0.0000 0.0000 0.0000
Te1 Te 0.0000 0.5000 0.0000
Pt1 Pt 0.5000 0.5000 0.5000
I1 I 0.0000 0.0000 0.5000
# Total magnetic moment, μB/f.u.: 0.000
# Raw formation energy, kJ/mol of formula units: 462
# Offset from the most stable computed form, eV/atom: 0.000
# Final energy, Ry/atom: -0.28599



14.
# YZr2Co, relaxed, DFT PBE
data_YZr2Co
_chemical_formula_sum 'Y2 Zr4 Co2'
_cell_length_a 5.5921
_cell_length_b 10.1298
_cell_length_c 3.2406
_cell_angle_alpha 90.00
_cell_angle_beta 113.28
_cell_angle_gamma 90.00
_space_group_name_H-M_alt 'C 1 2/m 1'
_space_group_IT_number 12
loop_
_space_group_symop_operation_xyz
'x,y,z'
'-x,-y,-z'
'-x,y,-z'
'x,-y,z'
'x+1/2,y+1/2,z'
'-x+1/2,-y+1/2,-z'
'-x+1/2,y+1/2,-z'
'x+1/2,-y+1/2,z'
loop_
_atom_site_label
_atom_site_type_symbol
_atom_site_fract_x
_atom_site_fract_y
_atom_site_fract_z
Y1 Y 0.0000 0.0000 0.0000
Zr1 Zr 0.2500 0.2500 0.5000
Co1 Co 0.0000 0.5000 0.0000
# Calculated formation energy, eV/f.u.: 1.2
# Total magnetic moment, μB/f.u.: 0.460
# Offset from the most stable computed form, eV/atom: 0.449
# Final energy, Ry/atom: -0.54148



15.
# LaPmPr3Sm, relaxed, DFT PBE
data_LaPmPr3Sm
_chemical_formula_sum 'La2 Pm2 Pr6 Sm2'
_cell_length_a 8.2462
_cell_length_b 5.2430
_cell_length_c 10.4596
_cell_angle_alpha 90.00
_cell_angle_beta 108.48
_cell_angle_gamma 90.00
_space_group_name_H-M_alt 'P 1 21/m 1'
_space_group_IT_number 11
loop_
_space_group_symop_operation_xyz
'x,y,z'
'-x,-y,-z'
'-x,y+1/2,-z'
'x,-y+1/2,z'
loop_
_atom_site_label
_atom_site_type_symbol
_atom_site_fract_x
_atom_site_fract_y
_atom_site_fract_z
La1 La 0.1690 0.2500 0.2923
Pm1 Pm 0.4989 0.7500 0.8749
Pr1 Pr 0.1687 0.2500 0.7920
Pr2 Pr 0.1694 0.7500 0.0418
Pr3 Pr 0.1698 0.7500 0.5428
Sm1 Sm 0.5004 0.2500 0.6254
# Calculated formation energy, eV/f.u.: 0.1
# Total magnetic moment, μB/f.u.: 0.000
# Final energy, Ry/atom: -0.35092



16.
# Ce8Th3Pb, relaxed, DFT PBE
data_Ce8Th3Pb
_chemical_formula_sum 'Ce16 Th6 Pb2'
_cell_length_a 8.5761
_cell_length_b 8.5761
_cell_length_c 10.6355
_cell_angle_alpha 90.00
_cell_angle_beta 90.00
_cell_angle_gamma 90.00
_space_group_name_H-M_alt 'I -4 2 m'
_space_group_IT_number 121
_space_group_name_Hall 'I -4 2'
loop_
_atom_site_label
_atom_site_type_symbol
_atom_site_fract_x
_atom_site_fract_y
_atom_site_fract_z
Ce1 Ce 0.1405 0.1405 0.2585
Ce2 Ce 0.2474 0.2474 0.4730
Th1 Th 0.0000 0.0000 0.5000
Th2 Th 0.0000 0.5000 0.2500
Pb1 Pb 0.0000 0.0000 0.0000
# Calculated formation energy, eV/f.u.: 5.1
# Total magnetic moment, μB/f.u.: 0.004
# Final energy, Ry/atom: -0.41861



17.
# BaLaOs2, relaxed, DFT PBE
data_BaLaOs2
_chemical_formula_sum 'Ba1 La1 Os2'
_cell_length_a 3.1816
_cell_length_b 4.6580
_cell_length_c 6.9906
_cell_angle_alpha 90.00
_cell_angle_beta 100.13
_cell_angle_gamma 90.00
_space_group_name_H-M_alt 'P 1 2/m 1'
_space_group_IT_number 10
loop_
_space_group_symop_operation_xyz
'x,y,z'
'-x,-y,-z'
'-x,y,-z'
'x,-y,z'
loop_
_atom_site_label
_atom_site_type_symbol
_atom_site_fract_x
_atom_site_fract_y
_atom_site_fract_z
Ba1 Ba 0.0000 0.0000 0.0000
La1 La 0.5000 0.0000 0.5000
Os1 Os 0.2820 0.5000 0.6611
# Calculated formation energy, eV/f.u.: 2.6
# Total magnetic moment, μB/f.u.: 0.000
# Offset from the most stable computed form, eV/atom: 0.560
# Final energy, Ry/atom: -0.49045